Density functional theory data (PBE-GGA) for crystalline Ce4F at its relaxed geometry.

Summary:
The crystal system is cubic. Its space group is Pm-3m. Its formation energy from raw total energies is -85 kJ/mol of atoms. For the magnetic moment, the calculation gives 0.0038 μB/atom.

a = 4.962 Å, b = 4.962 Å, c = 4.962 Å
α = 90.00°, β = 90.00°, γ = 90.00°
Fractional positions:
Ce  0.000  0.000  0.000
Ce  0.500  0.000  0.500
Ce  0.000  0.500  0.500
Ce  0.500  0.500  0.000
F  0.500  0.500  0.500